TaP3 after structural relaxation, computed with PBE.

Geometry as CIF:
```
data_TaP3
_cell_length_a 4.897
_cell_length_b 4.897
_cell_length_c 4.897
_cell_angle_alpha 140.24
_cell_angle_beta 119.35
_cell_angle_gamma 75.00
_space_group_name_H-M_alt 'P 1'
_space_group_IT_number 1
_space_group_name_Hall 'P 1'
loop_
_atom_site_label
_atom_site_type_symbol
_atom_site_fract_x
_atom_site_fract_y
_atom_site_fract_z
_atom_site_occupancy
Ta1 Ta 0.507 0.750 0.757 1
P1 P 0.403 0.437 0.967 1
P2 P 0.893 0.250 0.643 1
P3 P 0.030 0.063 0.967 1
```

Results
**Spin magnetization**: 0.0000 μB/atom
**Calculated formation energy**: -0.455 eV per atom
**Theoretical density**: 7.1 Mg/m³
**Uncorrected energy**: -7.475 eV/atom
**Fermi-level density of states**: 0.15 states/eV per atom
**Crystal system**: orthorhombic
**SG**: Imm2 (44)

Tb2Sc7In2 after structural relaxation, computed with PBE.

Geometry as CIF:
```
data_Tb2Sc7In2
_cell_length_a 5.950
_cell_length_b 7.776
_cell_length_c 7.776
_cell_angle_alpha 82.87
_cell_angle_beta 117.09
_cell_angle_gamma 117.09
_space_group_name_H-M_alt 'P 1'
_space_group_IT_number 1
_space_group_name_Hall 'P 1'
loop_
_atom_site_label
_atom_site_type_symbol
_atom_site_fract_x
_atom_site_fract_y
_atom_site_fract_z
_atom_site_occupancy
Sc1 Sc 0.336 0.584 0.080 1
Sc2 Sc 0.862 0.609 0.609 1
Sc3 Sc 0.664 0.416 0.920 1
Sc4 Sc 0.500 0.000 0.000 1
Sc5 Sc 0.138 0.391 0.391 1
Sc6 Sc 0.664 0.920 0.416 1
Sc7 Sc 0.336 0.080 0.584 1
Tb1 Tb 0.000 0.193 0.807 1
Tb2 Tb 0.000 0.807 0.193 1
In1 In 0.492 0.730 0.730 1
In2 In 0.508 0.270 0.270 1
```

Results
**Spin magnetization**: 0.0000 μB/atom
**Calculated formation energy**: -0.034 eV per atom
**Theoretical density**: 5.0 Mg/m³
**Uncorrected energy**: -5.403 eV/atom
**Fermi-level density of states**: 1.70 states/eV per atom
**Crystal system**: monoclinic
**SG**: C2/m (12)

Sc2VN2 after structural relaxation, computed with PBE.

Geometry as CIF:
```
data_Sc2VN2
_cell_length_a 4.045
_cell_length_b 4.045
_cell_length_c 5.529
_cell_angle_alpha 68.54
_cell_angle_beta 68.54
_cell_angle_gamma 90.00
_space_group_name_H-M_alt 'P 1'
_space_group_IT_number 1
_space_group_name_Hall 'P 1'
loop_
_atom_site_label
_atom_site_type_symbol
_atom_site_fract_x
_atom_site_fract_y
_atom_site_fract_z
_atom_site_occupancy
V1 V 0.000 0.000 0.000 1
N1 N 0.250 0.750 0.500 1
N2 N 0.750 0.250 0.500 1
Sc1 Sc 0.682 0.682 0.635 1
Sc2 Sc 0.318 0.318 0.365 1
```

Results
**Spin magnetization**: 0.6194 μB/atom
**Theoretical density**: 3.6 Mg/m³
**Uncorrected energy**: -8.154 eV/atom
**Fermi-level density of states**: 0.80 states/eV per atom
**Uncorrected formation energy**: -467 meV per atom
**Crystal system**: tetragonal
**SG**: I4/mmm (139)

Ti3Nb2Mo6 after structural relaxation, computed with PBE.

Geometry as CIF:
```
data_Ti3Nb2Mo6
_cell_length_a 4.583
_cell_length_b 5.241
_cell_length_c 9.862
_cell_angle_alpha 78.28
_cell_angle_beta 62.31
_cell_angle_gamma 64.07
_space_group_name_H-M_alt 'P 1'
_space_group_IT_number 1
_space_group_name_Hall 'P 1'
loop_
_atom_site_label
_atom_site_type_symbol
_atom_site_fract_x
_atom_site_fract_y
_atom_site_fract_z
_atom_site_occupancy
Ti1 Ti 0.328 0.344 0.000 1
Ti2 Ti 0.000 0.000 0.000 1
Ti3 Ti 0.672 0.656 0.000 1
Nb1 Nb 0.843 0.314 0.500 1
Nb2 Nb 0.157 0.686 0.500 1
Mo1 Mo 0.908 0.671 0.257 1
Mo2 Mo 0.743 0.000 0.757 1
Mo3 Mo 0.579 0.329 0.257 1
Mo4 Mo 0.421 0.671 0.743 1
Mo5 Mo 0.092 0.329 0.743 1
Mo6 Mo 0.257 0.000 0.243 1
```

Results
**Spin magnetization**: 0.0000 μB/atom
**Calculated formation energy**: 0.173 eV per atom
**Theoretical density**: 8.0 Mg/m³
**Uncorrected energy**: -9.719 eV/atom
**Fermi-level density of states**: 0.93 states/eV per atom
**Crystal system**: orthorhombic
**SG**: Cmmm (65)